Density functional theory data (PBE-GGA) for an optimized crystal structure of Cd2Hg2Br.

## Properties
M_tot   0.0 μB/cell
Space-group type   I4/mmm, No. 139
Formation energy without anion corrections   -1.6 kcal/mol of atoms
Energy above the most stable polymorph in this dataset   0.0423 eV per atom

Cell: 4.821 4.821 12.616 Å, 90.00 90.00 90.00°
Atoms (fractional coordinates):
Cd 0.000 0.500 0.250
Cd 0.000 0.500 0.750
Cd 0.500 0.000 0.250
Cd 0.500 0.000 0.750
Hg 0.000 0.000 0.110
Hg 0.000 0.000 0.890
Hg 0.500 0.500 0.390
Hg 0.500 0.500 0.610
Br 0.000 0.000 0.500
Br 0.500 0.500 0.000



Density functional theory data (PBE-GGA) for an optimized crystal structure of Cd3Hg5Br16.

## Properties
M_tot   0.0 μB/cell
Space-group type   Cm, No. 8
Formation energy without anion corrections   -12.8 kcal/mol of atoms

Cell: 8.221 8.221 13.103 Å, 90.72 90.72 59.91°
Atoms (fractional coordinates):
Cd 0.000 0.000 0.000
Cd 0.169 0.663 0.500
Cd 0.663 0.169 0.500
Hg 0.001 0.493 0.003
Hg 0.163 0.163 0.266
Hg 0.493 0.001 0.003
Hg 0.497 0.497 0.765
Hg 0.662 0.662 0.504
Br 0.155 0.669 0.879
Br 0.161 0.161 0.879
Br 0.320 0.846 0.129
Br 0.325 0.325 0.132
Br 0.335 0.818 0.629
Br 0.340 0.340 0.626
Br 0.495 0.495 0.380
Br 0.506 0.994 0.379
Br 0.667 0.667 0.877
Br 0.669 0.155 0.879
Br 0.818 0.335 0.629
Br 0.834 0.834 0.116
Br 0.835 0.835 0.615
Br 0.846 0.320 0.129
Br 0.992 0.992 0.380
Br 0.994 0.506 0.379



Density functional theory data (PBE-GGA) for an optimized crystal structure of CdInHgBr3.

## Properties
M_tot   0.0 μB/cell
Space-group type   C2/c, No. 15
Formation energy without anion corrections   -13.5 kcal/mol of atoms

Cell: 9.314 9.314 7.533 Å, 97.22 97.22 131.04°
Atoms (fractional coordinates):
Cd 0.050 0.950 0.750
Cd 0.950 0.050 0.250
In 0.389 0.611 0.750
In 0.611 0.389 0.250
Hg 0.266 0.734 0.250
Hg 0.734 0.266 0.750
Br 0.201 0.799 0.750
Br 0.210 0.277 0.009
Br 0.277 0.210 0.509
Br 0.723 0.790 0.491
Br 0.790 0.723 0.991
Br 0.799 0.201 0.250



Q: What is the formation energy without anion corrections in the second record?
A: -12.8 kcal/mol of atoms



Q: What is the M_tot in the third record?
A: 0.0 μB/cell



Q: Look up the M_tot of the first one.
A: 0.0 μB/cell



Q: What is the formation energy without anion corrections in the first record?
A: -1.6 kcal/mol of atoms